MgFeN2F meta-GGA SCAN PBEsol geometry; SG = P4/mmm; final energy = -0.69100 Ry/atom; E_form (uncorrected) = -0.36 eV/atom; Fermi-level density of states = 1.7 states/eV per cell; size of the total moment = 2.89 μB/f.u.
1.0
-0.8074 2.3902 2.5140
-2.2003 -2.3483 1.5261
3.0516 -1.3736 2.2860
N Mg F Fe
2 1 1 1
Direct
0.5000 0.0000 0.0000 N
0.0000 0.5000 0.0000 N
0.5000 0.5000 0.5000 Mg
0.0000 0.0000 0.5000 F
0.0000 0.0000 0.0000 Fe


BaBH2 meta-GGA SCAN PBEsol geometry; SG = Fm-3m; final energy = -0.93589 Ry/atom; Fermi-level density of states = 0.8 states/eV per cell; size of the total moment = 0.96 μB/f.u.
1.0
-0.9388 2.1244 -3.6044
-3.2849 -1.2722 -2.4447
-3.5581 2.3828 -0.2194
H Ba B
2 1 1
Direct
0.2500 0.2500 0.2500 H
0.7500 0.7500 0.7500 H
0.5000 0.5000 0.5000 Ba
0.0000 0.0000 0.0000 B


TlTcSe2Cl meta-GGA SCAN PBEsol geometry; SG = P4/mmm; final energy = -2.22903 Ry/atom; E_form (uncorrected) = 0.78 eV/atom; Fermi-level density of states = 1.6 states/eV per cell; size of the total moment = 4.94 μB/f.u.
1.0
-1.7482 -3.6548 -3.0170
3.9330 0.9226 -3.3965
3.0085 -3.5245 2.5263
Tc Se Tl Cl
1 2 1 1
Direct
0.5000 0.5000 0.5000 Tc
0.0000 0.0000 0.5000 Se
0.0000 0.5000 0.0000 Se
0.0000 0.0000 0.0000 Tl
0.5000 0.0000 0.0000 Cl


LuB2Ru meta-GGA SCAN PBEsol geometry; SG = Pnma; final energy = -1.98492 Ry/atom; energy of formation from the pure elements = -3.00 eV per formula unit; Fermi-level density of states = 9.7 states/eV per cell; size of the total moment = 0.00 μB/f.u.
1.0
-0.0647 -5.1960 -0.3507
4.5730 -0.2915 3.4755
-3.7699 -0.2862 4.9364
Ru Lu B
4 4 8
Direct
0.2500 0.1808 0.6814 Ru
0.7500 0.3192 0.1814 Ru
0.2500 0.6808 0.8186 Ru
0.7500 0.8192 0.3186 Ru
0.7500 0.4904 0.6654 Lu
0.7500 0.9904 0.8346 Lu
0.2500 0.5096 0.3346 Lu
0.2500 0.0096 0.1654 Lu
0.5820 0.1365 0.4631 B
0.0820 0.8635 0.5369 B
0.0820 0.3635 0.9631 B
0.9180 0.6365 0.0369 B
0.4180 0.8635 0.5369 B
0.4180 0.3635 0.9631 B
0.9180 0.1365 0.4631 B
0.5820 0.6365 0.0369 B


Question: Number 2 is which compound?
Answer: BaBH2


Question: Which formula does entry 1 have?
Answer: MgFeN2F


Question: Which value of Fermi-level density of states does entry 4 give?
Answer: 9.7 states/eV per cell